Record 1
VASP calculation (PBE-GGA) on KInPdSe3 after structural relaxation.

Properties
* electronic total energy: -3.8439 eV per atom
* calculated density: 4.64 g/cm3
* space group: No. 11

a = 8.724 Å, b = 4.293 Å, c = 9.736 Å
α = 90.00°, β = 102.53°, γ = 90.00°
Atoms (fractional coordinates):
In: 0.838 0.250 0.383
In: 0.162 0.750 0.617
K: 0.303 0.250 0.258
K: 0.697 0.750 0.742
Pd: 0.546 0.750 0.098
Pd: 0.454 0.250 0.902
Se: 0.694 0.250 0.092
Se: 0.045 0.750 0.339
Se: 0.621 0.750 0.358
Se: 0.379 0.250 0.642
Se: 0.955 0.250 0.661
Se: 0.306 0.750 0.908

Record 2
VASP calculation (PBE-GGA) on CsGd2CuSe4 after structural relaxation.

Properties
* electronic total energy: -4.9833 eV per atom
* calculated density: 6.10 g/cm3
* space group: No. 63
* magnetization: 0.001 μB/atom

a = 7.650 Å, b = 7.650 Å, c = 14.561 Å
α = 90.00°, β = 90.00°, γ = 148.12°
Atoms (fractional coordinates):
Cs: 0.608 0.392 0.250
Cs: 0.392 0.608 0.750
Cu: 0.336 0.664 0.250
Cu: 0.664 0.336 0.750
Gd: 0.866 0.134 0.062
Gd: 0.866 0.134 0.438
Gd: 0.134 0.866 0.562
Gd: 0.134 0.866 0.938
Se: 0.500 0.500 0.000
Se: 0.242 0.758 0.108
Se: 0.923 0.077 0.250
Se: 0.242 0.758 0.392
Se: 0.500 0.500 0.500
Se: 0.758 0.242 0.608
Se: 0.077 0.923 0.750
Se: 0.758 0.242 0.892

Record 3
VASP calculation (PBE-GGA) on Li2AgAu after structural relaxation.

Properties
* electronic total energy: -2.8810 eV per atom
* calculated density: 8.68 g/cm3
* space group: No. 139

a = 4.411 Å, b = 6.271 Å, c = 13.234 Å
α = 90.00°, β = 90.00°, γ = 90.00°
Atoms (fractional coordinates):
Ag: 0.000 0.500 0.000
Ag: 0.500 0.000 0.167
Ag: 0.000 0.500 0.333
Ag: 0.500 0.000 0.500
Ag: 0.000 0.500 0.667
Ag: 0.500 0.000 0.833
Au: 0.000 0.000 0.000
Au: 0.500 0.500 0.167
Au: 0.000 0.000 0.333
Au: 0.500 0.500 0.500
Au: 0.000 0.000 0.667
Au: 0.500 0.500 0.833
Li: 0.500 0.250 0.000
Li: 0.500 0.750 0.000
Li: 0.000 0.250 0.167
Li: 0.000 0.750 0.167
Li: 0.500 0.250 0.333
Li: 0.500 0.750 0.333
Li: 0.000 0.250 0.500
Li: 0.000 0.750 0.500
Li: 0.500 0.250 0.667
Li: 0.500 0.750 0.667
Li: 0.000 0.250 0.833
Li: 0.000 0.750 0.833

Record 4
VASP calculation (PBE-GGA) on FeAg3H6C6N8 after structural relaxation.

Properties
* electronic total energy: -6.4741 eV per atom
* calculated density: 2.83 g/cm3
* space group: No. 9
* magnetization: 0.042 μB/atom

a = 7.564 Å, b = 7.564 Å, c = 12.112 Å
α = 93.26°, β = 93.26°, γ = 104.68°
Each line ends with the local moment (μB).
Atoms (fractional coordinates):
Ag: 0.354 0.076 0.106  0.12
Ag: 0.166 0.242 0.275  0.12
Ag: 0.944 0.604 0.405  0.05
Ag: 0.076 0.354 0.606  0.10
Ag: 0.242 0.166 0.775  0.11
Ag: 0.604 0.944 0.905  0.07
C: 0.118 0.321 0.004  -0.01
C: 0.773 0.329 0.019  -0.01
C: 0.023 0.562 0.147  -0.01
C: 0.451 0.959 0.340  -0.01
C: 0.677 0.209 0.474  -0.01
C: 0.689 0.870 0.480  -0.01
C: 0.321 0.118 0.504  -0.01
C: 0.329 0.773 0.519  -0.01
C: 0.562 0.023 0.647  -0.01
C: 0.959 0.451 0.840  -0.01
C: 0.209 0.677 0.974  -0.01
C: 0.870 0.689 0.980  -0.01
Fe: 0.502 0.991 0.494  0.48
Fe: 0.991 0.502 0.994  0.57
H: 0.825 0.071 0.185  0.00
H: 0.941 0.915 0.199  0.00
H: 0.436 0.544 0.243  0.00
H: 0.855 0.992 0.309  0.00
H: 0.525 0.420 0.330  0.00
H: 0.389 0.545 0.375  0.00
H: 0.071 0.825 0.685  0.00
H: 0.915 0.941 0.699  0.00
H: 0.544 0.436 0.743  0.00
H: 0.992 0.855 0.809  0.00
H: 0.420 0.525 0.830  0.00
H: 0.545 0.389 0.875  0.00
N: 0.197 0.205 0.005  0.04
N: 0.640 0.215 0.036  0.02
N: 0.916 0.030 0.237  0.02
N: 0.428 0.945 0.242  0.03
N: 0.038 0.602 0.243  0.03
N: 0.410 0.464 0.309  0.02
N: 0.792 0.341 0.461  0.01
N: 0.814 0.806 0.470  0.02
N: 0.205 0.197 0.505  0.03
N: 0.215 0.640 0.536  0.02
N: 0.030 0.916 0.737  0.02
N: 0.945 0.428 0.742  0.03
N: 0.602 0.038 0.743  0.03
N: 0.464 0.410 0.809  0.02
N: 0.341 0.792 0.961  0.02
N: 0.806 0.814 0.970  0.02

Record 5
VASP calculation (PBE-GGA) on Cu10Sn3 after structural relaxation.

Properties
* electronic total energy: -3.5845 eV per atom
* calculated density: 8.58 g/cm3
* space group: No. 162

a = 7.325 Å, b = 7.325 Å, c = 8.264 Å
α = 90.00°, β = 90.00°, γ = 120.00°
Atoms (fractional coordinates):
Cu: 0.000 0.729 0.095
Cu: 0.271 0.271 0.095
Cu: 0.729 0.000 0.095
Cu: 0.682 0.682 0.237
Cu: 0.318 0.000 0.237
Cu: 0.000 0.318 0.237
Cu: 0.000 0.000 0.334
Cu: 0.000 0.684 0.439
Cu: 0.684 0.000 0.439
Cu: 0.316 0.316 0.439
Cu: 0.684 0.684 0.561
Cu: 0.316 0.000 0.561
Cu: 0.000 0.316 0.561
Cu: 0.000 0.000 0.666
Cu: 0.000 0.682 0.763
Cu: 0.682 0.000 0.763
Cu: 0.318 0.318 0.763
Cu: 0.271 0.000 0.905
Cu: 0.729 0.729 0.905
Cu: 0.000 0.271 0.905
Sn: 0.667 0.333 0.000
Sn: 0.333 0.667 0.000
Sn: 0.667 0.333 0.333
Sn: 0.333 0.667 0.333
Sn: 0.667 0.333 0.667
Sn: 0.333 0.667 0.667

Record 6
VASP calculation (PBE-GGA) on CsUMo after structural relaxation.

Properties
* electronic total energy: -5.0335 eV per atom
* calculated density: 10.29 g/cm3
* space group: No. 216
* magnetization: 0.327 μB/atom

a = 4.741 Å, b = 4.741 Å, c = 4.741 Å
α = 60.00°, β = 60.00°, γ = 60.00°
Each line ends with the local moment (μB).
Atoms (fractional coordinates):
Cs: 0.000 0.000 0.000  0.02
Mo: 0.250 0.250 0.250  -1.38
U: 0.750 0.750 0.750  2.25